Density functional theory data (PBE) for a geometry-optimized CrInTc structure.

## Properties
- E_form (eV/atom) = 0.168
- magnetization (μB/f.u.) = 0.000
- N(E_F) (states/eV/cell) = 4.09
- total energy (eV/atom) = -7.408

Geometry as CIF:
```
data_CrInTc
_chemical_formula_sum 'Cr2 In2 Tc2'
_cell_length_a 3.052
_cell_length_b 3.052
_cell_length_c 10.060
_cell_angle_alpha 90.00
_cell_angle_beta 90.00
_cell_angle_gamma 90.00
_space_group_name_H-M_alt 'I 4 m m'
_space_group_IT_number 107
_space_group_name_Hall 'I 4 -2'
loop_
_atom_site_label
_atom_site_fract_x
_atom_site_fract_y
_atom_site_fract_z
Cr1 0.000 0.000 0.000
In1 0.000 0.000 0.682
Tc1 0.000 0.000 0.375
```